[1]
First-principles (meta-GGA SCAN) data for a crystal of Ta5Re3 relaxed with PBEsol, as listed in Alexandria via LeMat-Bulk.

Structure (CIF):
```
data_Ta5Re3
_chemical_formula_sum 'Ta10 Re6'
_cell_length_a 6.389
_cell_length_b 9.019
_cell_length_c 4.510
_cell_angle_alpha 90.00
_cell_angle_beta 90.00
_cell_angle_gamma 90.00
_space_group_name_H-M_alt 'C m m m'
_space_group_IT_number 65
_space_group_name_Hall '-C 2 2'
loop_
_atom_site_label
_atom_site_type_symbol
_atom_site_fract_x
_atom_site_fract_y
_atom_site_fract_z
Ta1 Ta 0.000 0.000 0.000
Ta2 Ta 0.247 0.500 0.500
Ta3 Ta 0.250 0.250 0.000
Re1 Re 0.000 0.248 0.500
Re2 Re 0.000 0.500 0.000
```

Properties
E_form in eV/atom: -0.432
Crystal system: orthorhombic
Mass density in g cm⁻³: 18.7


[2]
First-principles (meta-GGA SCAN) data for a crystal of Mg2Zn relaxed with PBEsol, as listed in Alexandria via LeMat-Bulk.

Structure (CIF):
```
data_Mg2Zn
_chemical_formula_sum 'Mg8 Zn4'
_cell_length_a 3.061
_cell_length_b 3.061
_cell_length_c 25.483
_cell_angle_alpha 90.00
_cell_angle_beta 90.00
_cell_angle_gamma 90.00
_space_group_name_H-M_alt 'I 41/a m d'
_space_group_IT_number 141
loop_
_space_group_symop_operation_xyz
'x,y,z'
'-x,-y,-z'
'-y+1/4,x+3/4,z+1/4'
'y+1/4,-x+3/4,-z+1/4'
'-x+1/2,-y,z+1/2'
'x+1/2,y,-z+1/2'
'y+1/4,-x+1/4,z+3/4'
'-y+1/4,x+1/4,-z+3/4'
'x,-y,-z'
'-x,y,z'
'-y+1/4,-x+1/4,-z+3/4'
'y+1/4,x+1/4,z+3/4'
'-x+1/2,y,-z+1/2'
'x+1/2,-y,z+1/2'
'y+1/4,x+3/4,-z+1/4'
'-y+1/4,-x+3/4,z+1/4'
'x+1/2,y+1/2,z+1/2'
'-x+1/2,-y+1/2,-z+1/2'
'-y+3/4,x+1/4,z+3/4'
'y+3/4,-x+1/4,-z+3/4'
'-x,-y+1/2,z'
'x,y+1/2,-z'
'y+3/4,-x+3/4,z+1/4'
'-y+3/4,x+3/4,-z+1/4'
'x+1/2,-y+1/2,-z+1/2'
'-x+1/2,y+1/2,z+1/2'
'-y+3/4,-x+3/4,-z+1/4'
'y+3/4,x+3/4,z+1/4'
'-x,y+1/2,-z'
'x,-y+1/2,z'
'y+3/4,x+1/4,-z+3/4'
'-y+3/4,-x+1/4,z+3/4'
loop_
_atom_site_label
_atom_site_type_symbol
_atom_site_fract_x
_atom_site_fract_y
_atom_site_fract_z
Mg1 Mg 0.000 0.250 0.303
Zn1 Zn 0.000 0.250 0.875
```

Properties
E_form in eV/atom: -0.019
Crystal system: tetragonal
Mass density in g cm⁻³: 3.2


[3]
First-principles (meta-GGA SCAN) data for a crystal of Li2Cu2F5 relaxed with PBEsol, as listed in Alexandria via LeMat-Bulk.

Structure (CIF):
```
data_Li2Cu2F5
_chemical_formula_sum 'Li8 Cu8 F20'
_cell_length_a 10.695
_cell_length_b 2.931
_cell_length_c 11.970
_cell_angle_alpha 90.00
_cell_angle_beta 90.00
_cell_angle_gamma 90.00
_space_group_name_H-M_alt 'P n a 21'
_space_group_IT_number 33
_space_group_name_Hall 'P 2c -2n'
loop_
_atom_site_label
_atom_site_type_symbol
_atom_site_fract_x
_atom_site_fract_y
_atom_site_fract_z
Li1 Li 0.031 0.223 0.000
Li2 Li 0.219 0.231 0.650
Cu1 Cu 0.004 0.226 0.262
Cu2 Cu 0.246 0.167 0.389
F1 F 0.065 0.268 0.419
F2 F 0.085 0.761 0.623
F3 F 0.124 0.234 0.827
F4 F 0.164 0.706 0.027
F5 F 0.188 0.219 0.231
```

Properties
Formation energy from raw total energies in meV per atom: -2203
Distance to the lowest polymorph of the same formula in eV/atom: 0.0206
Crystal system: orthorhombic
Mass density in g cm⁻³: 4.2


[4]
First-principles (meta-GGA SCAN) data for a crystal of NaYSN2 relaxed with PBEsol, as listed in Alexandria via LeMat-Bulk.

Structure (CIF):
```
data_NaYSN2
_chemical_formula_sum 'Na1 Y1 S1 N2'
_cell_length_a 4.157
_cell_length_b 4.157
_cell_length_c 4.694
_cell_angle_alpha 90.00
_cell_angle_beta 90.00
_cell_angle_gamma 90.00
_space_group_name_H-M_alt 'P 4/m m m'
_space_group_IT_number 123
_space_group_name_Hall '-P 4 2'
loop_
_atom_site_label
_atom_site_type_symbol
_atom_site_fract_x
_atom_site_fract_y
_atom_site_fract_z
Na1 Na 0.000 0.000 0.000
Y1 Y 0.500 0.500 0.500
S1 S 0.000 0.000 0.500
N1 N 0.000 0.500 0.000
```

Properties
Formation energy from raw total energies in meV per atom: 574
Crystal system: tetragonal
Mass density in g cm⁻³: 3.5


[5]
First-principles (meta-GGA SCAN) data for a crystal of Mg2InSb relaxed with PBEsol, as listed in Alexandria via LeMat-Bulk.

Structure (CIF):
```
data_Mg2InSb
_chemical_formula_sum 'Mg2 In1 Sb1'
_cell_length_a 3.336
_cell_length_b 3.336
_cell_length_c 8.347
_cell_angle_alpha 90.00
_cell_angle_beta 90.00
_cell_angle_gamma 90.00
_space_group_name_H-M_alt 'P 4/m m m'
_space_group_IT_number 123
_space_group_name_Hall '-P 4 2'
loop_
_atom_site_label
_atom_site_type_symbol
_atom_site_fract_x
_atom_site_fract_y
_atom_site_fract_z
Mg1 Mg 0.000 0.000 0.249
In1 In 0.500 0.500 0.000
Sb1 Sb 0.500 0.500 0.500
```

Properties
Formation energy from raw total energies in meV per atom: -159
Distance to the lowest polymorph of the same formula in eV/atom: 0.0254
Crystal system: tetragonal
Mass density in g cm⁻³: 5.1


[6]
First-principles (meta-GGA SCAN) data for a crystal of MnPtAu2 relaxed with PBEsol, as listed in Alexandria via LeMat-Bulk.

Structure (CIF):
```
data_MnPtAu2
_chemical_formula_sum 'Mn2 Pt2 Au4'
_cell_length_a 3.956
_cell_length_b 3.956
_cell_length_c 7.962
_cell_angle_alpha 90.00
_cell_angle_beta 90.00
_cell_angle_gamma 90.00
_space_group_name_H-M_alt 'I -4 m 2'
_space_group_IT_number 119
_space_group_name_Hall 'I -4 -2'
loop_
_atom_site_label
_atom_site_type_symbol
_atom_site_fract_x
_atom_site_fract_y
_atom_site_fract_z
Mn1 Mn 0.000 0.000 0.000
Pt1 Pt 0.000 0.500 0.750
Au1 Au 0.000 0.000 0.500
Au2 Au 0.000 0.500 0.250
```

Properties
E_form in eV/atom: -0.399
Crystal system: tetragonal
Mass density in g cm⁻³: 17.2